Entry 1:
Material: Tb2HoTm4Mg
Method: DFT, PBE
State: relaxed

The calculation puts the energy relative to the elements at 0.0280 eV/atom. For the magnetization, the calculation gives 0.002 μB/f.u. As for the volume: 29.90 Å³ per atom.

The structure belongs to space group Pmmm (No. 47); the cell edges are 4.9015, 4.9134 and 9.9326 Å and the angles 90.00°, 90.00° and 90.00°. The distinct sites, in fractional coordinates, are Tb at (0.0000, 0.0000, 0.0000), Tb at (0.5000, 0.5000, 0.5000), Ho at (0.0000, 0.0000, 0.5000), Tm at (0.0000, 0.5000, 0.2492), Tm at (0.5000, 0.0000, 0.2493) and Mg at (0.5000, 0.5000, 0.0000).

---

Entry 2:
Material: Tb2HoTm2Mg
Method: DFT, PBE
State: relaxed

The calculation puts the energy relative to the elements at 0.4771 eV/atom. For the magnetization, the calculation gives 0.000 μB/f.u. As for the volume: 35.50 Å³ per atom.

The structure belongs to space group Pnnm (No. 58); the cell edges are 10.1143, 11.7105 and 3.5963 Å and the angles 90.00°, 90.00° and 90.00°. The distinct sites, in fractional coordinates, are Tb at (0.0988, 0.2218, 0.0000), Ho at (0.0000, 0.0000, 0.5000), Tm at (0.2497, 0.4270, 0.5000) and Mg at (0.0000, 0.5000, 0.0000).

---

Entry 3:
Material: Tb6HoTm2Mg
Method: DFT, PBE
State: relaxed

The calculation puts the energy relative to the elements at 0.1246 eV/atom. For the magnetization, the calculation gives 0.000 μB/f.u. As for the volume: 31.14 Å³ per atom.

The structure belongs to space group C2/c (No. 15); the cell edges are 9.0714, 14.6107 and 9.5048 Å and the angles 90.00°, 98.55° and 90.00°. The distinct sites, in fractional coordinates, are Tb at (0.0621, 0.1823, 0.4485), Tb at (0.0995, 0.3978, 0.6137), Tb at (0.2139, 0.2213, 0.8127), Ho at (0.0000, 0.0205, 0.7500), Tm at (0.2483, 0.0498, 0.0514) and Mg at (0.0000, 0.4058, 0.2500).

---

Entry 4:
Material: TbHo2Tm2Mg5
Method: DFT, PBE
State: relaxed

The calculation puts the energy relative to the elements at 0.0816 eV/atom. For the magnetization, the calculation gives 0.000 μB/f.u. As for the volume: 27.95 Å³ per atom.

The structure belongs to space group P4/mbm (No. 127); the cell edges are 10.5171, 10.5171 and 5.0530 Å and the angles 90.00°, 90.00° and 90.00°. The distinct sites, in fractional coordinates, are Tb at (0.0000, 0.0000, 0.0000), Ho at (0.1781, 0.3219, 0.0000), Tm at (0.1179, 0.6179, 0.0000), Mg at (0.0000, 0.5000, 0.5000) and Mg at (0.0752, 0.8027, 0.5000).

---

Entry 5:
Material: TbHo5Tm2Mg
Method: DFT, PBE
State: relaxed

The calculation puts the energy relative to the elements at 0.1093 eV/atom. For the magnetization, the calculation gives 0.000 μB/f.u. As for the volume: 30.86 Å³ per atom.

The structure belongs to space group Cmc2_1 (No. 36); the cell edges are 5.3707, 19.8292 and 10.4319 Å and the angles 90.00°, 90.00° and 90.00°. The distinct sites, in fractional coordinates, are Tb at (0.0000, 0.2053, 0.0000), Ho at (0.0000, 0.0136, 0.0000), Ho at (0.0000, 0.2898, 0.2981), Ho at (0.0000, 0.2905, 0.7017), Ho at (0.0000, 0.3827, 0.0000), Ho at (0.0000, 0.5005, 0.2493), Tm at (0.0000, 0.1142, 0.2867), Tm at (0.0000, 0.1143, 0.7136) and Mg at (0.0000, 0.4053, 0.4984).

---

Entry 6:
Material: TbHoTmMg
Method: DFT, PBE
State: relaxed

The calculation puts the energy relative to the elements at 0.0372 eV/atom. For the magnetization, the calculation gives 0.000 μB/f.u. As for the volume: 28.90 Å³ per atom. As for the relative energy among the computed polymorphs: 60 meV per atom.

The structure belongs to space group F-43m (No. 216); the cell edges are 7.7328, 7.7328 and 7.7328 Å and the angles 90.00°, 90.00° and 90.00°. The distinct sites, in fractional coordinates, are Tb at (0.0000, 0.0000, 0.0000), Ho at (0.0000, 0.0000, 0.5000), Tm at (0.2500, 0.2500, 0.2500) and Mg at (0.2500, 0.2500, 0.7500).

---

Entry 7:
Material: TbHoTmMg
Method: DFT, PBE
State: relaxed

The calculation puts the energy relative to the elements at -0.0230 eV/atom. For the magnetization, the calculation gives 0.000 μB/f.u. As for the volume: 29.20 Å³ per atom. As for the relative energy among the computed polymorphs: 0 meV per atom.

The structure belongs to space group P4mm (No. 99); the cell edges are 3.5513, 3.5513 and 9.2607 Å and the angles 90.00°, 90.00° and 90.00°. The distinct sites, in fractional coordinates, are Tb at (0.0000, 0.0000, 0.0000), Ho at (0.0000, 0.0000, 0.5227), Tm at (0.5000, 0.5000, 0.2625) and Mg at (0.5000, 0.5000, 0.7595).

---

Entry 8:
Material: Tb6Ho2Tm3Mg
Method: DFT, PBE
State: relaxed

The calculation puts the energy relative to the elements at 0.0266 eV/atom. For the magnetization, the calculation gives 0.000 μB/f.u. As for the volume: 30.57 Å³ per atom.

The structure belongs to space group C2/m (No. 12); the cell edges are 6.0914, 10.5587 and 11.5900 Å and the angles 90.00°, 100.17° and 90.00°. The distinct sites, in fractional coordinates, are Tb at (0.2493, 0.0000, 0.2509), Tb at (0.2491, 0.3335, 0.2498), Ho at (0.0000, 0.1662, 0.0000), Tm at (0.0000, 0.0000, 0.5000), Tm at (0.0000, 0.3339, 0.5000) and Mg at (0.0000, 0.5000, 0.0000).

---

Entry 9:
Material: Tb6Y2HoMg
Method: DFT, PBE
State: relaxed

The calculation puts the energy relative to the elements at 0.1090 eV/atom. For the magnetization, the calculation gives 0.089 μB/f.u. As for the volume: 31.61 Å³ per atom.

The structure belongs to space group C2/c (No. 15); the cell edges are 9.9878, 19.4303 and 6.6177 Å and the angles 90.00°, 100.06° and 90.00°. The distinct sites, in fractional coordinates, are Tb at (0.0613, 0.1455, 0.0338), Tb at (0.1166, 0.4136, 0.9746), Tb at (0.1767, 0.2585, 0.7199), Y at (0.2353, 0.4171, 0.4912), Ho at (0.0000, 0.0081, 0.7500) and Mg at (0.0000, 0.2952, 0.2500).

---

Entry 10:
Material: Tb4YHo2Mg
Method: DFT, PBE
State: relaxed

The calculation puts the energy relative to the elements at 0.0193 eV/atom. For the magnetization, the calculation gives 0.000 μB/f.u. As for the volume: 30.70 Å³ per atom.

The structure belongs to space group P4/mmm (No. 123); the cell edges are 4.9740, 4.9740 and 9.9277 Å and the angles 90.00°, 90.00° and 90.00°. The distinct sites, in fractional coordinates, are Tb at (0.0000, 0.5000, 0.2467), Y at (0.0000, 0.0000, 0.5000), Ho at (0.0000, 0.0000, 0.0000), Ho at (0.5000, 0.5000, 0.5000) and Mg at (0.5000, 0.5000, 0.0000).

---

Entry 11:
Material: TbY4Ho2Mg
Method: DFT, PBE
State: relaxed

The calculation puts the energy relative to the elements at 0.0226 eV/atom. For the magnetization, the calculation gives 0.001 μB/f.u. As for the volume: 30.89 Å³ per atom.

The structure belongs to space group P4/mmm (No. 123); the cell edges are 4.9731, 4.9731 and 9.9919 Å and the angles 90.00°, 90.00° and 90.00°. The distinct sites, in fractional coordinates, are Tb at (0.0000, 0.0000, 0.0000), Y at (0.0000, 0.5000, 0.2530), Ho at (0.0000, 0.0000, 0.5000), Ho at (0.5000, 0.5000, 0.0000) and Mg at (0.5000, 0.5000, 0.5000).

---

Entry 12:
Material: Tb6Y3Ho2Mg
Method: DFT, PBE
State: relaxed

The calculation puts the energy relative to the elements at 0.0288 eV/atom. For the magnetization, the calculation gives 0.000 μB/f.u. As for the volume: 31.21 Å³ per atom.

The structure belongs to space group C2/m (No. 12); the cell edges are 6.1352, 10.6322 and 11.6652 Å and the angles 90.00°, 100.17° and 90.00°. The distinct sites, in fractional coordinates, are Tb at (0.2482, 0.0000, 0.2481), Tb at (0.2481, 0.3334, 0.2470), Y at (0.0000, 0.0000, 0.5000), Y at (0.0000, 0.3340, 0.5000), Ho at (0.0000, 0.1663, 0.0000) and Mg at (0.0000, 0.5000, 0.0000).

---

Entry 13:
Material: Tb2Y2HoMg
Method: DFT, PBE
State: relaxed

The calculation puts the energy relative to the elements at 0.4736 eV/atom. For the magnetization, the calculation gives 0.000 μB/f.u. As for the volume: 36.44 Å³ per atom.

The structure belongs to space group Pnnm (No. 58); the cell edges are 10.3398, 11.7078 and 3.6124 Å and the angles 90.00°, 90.00° and 90.00°. The distinct sites, in fractional coordinates, are Tb at (0.0879, 0.2243, 0.0000), Y at (0.2484, 0.4289, 0.5000), Ho at (0.0000, 0.0000, 0.5000) and Mg at (0.0000, 0.5000, 0.0000).

---

Entry 14:
Material: Tb2Y2HoMg5
Method: DFT, PBE
State: relaxed

The calculation puts the energy relative to the elements at 0.0800 eV/atom. For the magnetization, the calculation gives 0.000 μB/f.u. As for the volume: 28.40 Å³ per atom.

The structure belongs to space group P4/mbm (No. 127); the cell edges are 10.5936, 10.5936 and 5.0621 Å and the angles 90.00°, 90.00° and 90.00°. The distinct sites, in fractional coordinates, are Tb at (0.1192, 0.3808, 0.0000), Y at (0.1784, 0.6784, 0.0000), Ho at (0.0000, 0.0000, 0.0000), Mg at (0.0000, 0.5000, 0.5000) and Mg at (0.0677, 0.1969, 0.5000).

---

Entry 15:
Material: Tb6Y2Ho3Mg
Method: DFT, PBE
State: relaxed

The calculation puts the energy relative to the elements at 0.0254 eV/atom. For the magnetization, the calculation gives 0.001 μB/f.u. As for the volume: 31.06 Å³ per atom.

The structure belongs to space group C2/m (No. 12); the cell edges are 6.1172, 10.6056 and 11.6745 Å and the angles 90.00°, 100.15° and 90.00°. The distinct sites, in fractional coordinates, are Tb at (0.2485, 0.1662, 0.2497), Tb at (0.2504, 0.0000, 0.7490), Y at (0.0000, 0.3338, 0.0000), Ho at (0.0000, 0.1662, 0.5000), Ho at (0.0000, 0.5000, 0.5000) and Mg at (0.0000, 0.0000, 0.0000).

---

Entry 16:
Material: Tb3Y2Ho6Mg
Method: DFT, PBE
State: relaxed

The calculation puts the energy relative to the elements at 0.0293 eV/atom. For the magnetization, the calculation gives 0.001 μB/f.u. As for the volume: 30.87 Å³ per atom.

The structure belongs to space group C2/m (No. 12); the cell edges are 6.1008, 10.5730 and 11.6667 Å and the angles 90.00°, 100.11° and 90.00°. The distinct sites, in fractional coordinates, are Tb at (0.0000, 0.0000, 0.0000), Tb at (0.0000, 0.3340, 0.0000), Y at (0.0000, 0.1664, 0.5000), Ho at (0.2487, 0.3338, 0.7487), Ho at (0.2499, 0.0000, 0.7496) and Mg at (0.0000, 0.5000, 0.5000).

---

Entry 17:
Material: TbY2Ho4Mg
Method: DFT, PBE
State: relaxed

The calculation puts the energy relative to the elements at 0.0245 eV/atom. For the magnetization, the calculation gives 0.000 μB/f.u. As for the volume: 30.58 Å³ per atom.

The structure belongs to space group Pmmm (No. 47); the cell edges are 4.9319, 4.9449 and 10.0299 Å and the angles 90.00°, 90.00° and 90.00°. The distinct sites, in fractional coordinates, are Tb at (0.0000, 0.0000, 0.0000), Y at (0.0000, 0.0000, 0.5000), Y at (0.5000, 0.5000, 0.0000), Ho at (0.0000, 0.5000, 0.2516), Ho at (0.5000, 0.0000, 0.2520) and Mg at (0.5000, 0.5000, 0.5000).

---

Entry 18:
Material: TbYHoMg
Method: DFT, PBE
State: relaxed

The calculation puts the energy relative to the elements at -0.0300 eV/atom. For the magnetization, the calculation gives 0.000 μB/f.u. As for the volume: 29.73 Å³ per atom. As for the relative energy among the computed polymorphs: 0 meV per atom.

The structure belongs to space group P4mm (No. 99); the cell edges are 3.5935, 3.5935 and 9.2081 Å and the angles 90.00°, 90.00° and 90.00°. The distinct sites, in fractional coordinates, are Tb at (0.0000, 0.0000, 0.0000), Y at (0.0000, 0.0000, 0.5297), Ho at (0.5000, 0.5000, 0.2632) and Mg at (0.5000, 0.5000, 0.7641).

---

Entry 19:
Material: TbY2Ho2Mg5
Method: DFT, PBE
State: relaxed

The calculation puts the energy relative to the elements at 0.0763 eV/atom. For the magnetization, the calculation gives 0.000 μB/f.u. As for the volume: 28.38 Å³ per atom.

The structure belongs to space group P4/mbm (No. 127); the cell edges are 10.5969, 10.5969 and 5.0550 Å and the angles 90.00°, 90.00° and 90.00°. The distinct sites, in fractional coordinates, are Tb at (0.0000, 0.0000, 0.0000), Y at (0.1785, 0.3215, 0.0000), Ho at (0.1183, 0.6183, 0.0000), Mg at (0.0000, 0.5000, 0.5000) and Mg at (0.0690, 0.8021, 0.5000).

---

Entry 20:
Material: TbYHoMg
Method: DFT, PBE
State: relaxed

The calculation puts the energy relative to the elements at 0.0450 eV/atom. For the magnetization, the calculation gives 0.000 μB/f.u. As for the volume: 29.50 Å³ per atom. As for the relative energy among the computed polymorphs: 75 meV per atom.

The structure belongs to space group F-43m (No. 216); the cell edges are 7.7862, 7.7862 and 7.7862 Å and the angles 90.00°, 90.00° and 90.00°. The distinct sites, in fractional coordinates, are Tb at (0.0000, 0.0000, 0.0000), Y at (0.0000, 0.0000, 0.5000), Ho at (0.2500, 0.2500, 0.2500) and Mg at (0.2500, 0.2500, 0.7500).